! Na2B7Pt12 | the Alexandria database | GGA-PBE | optimized geometry; values from VASP
! space group	No. 147
! crystal system	trigonal
! formation enthalpy at 0 K	-0.2583	eV/atom
! final energy	-6.06	eV/atom
&SYSTEM
  ibrav = 0, nat = 21, ntyp = 3
/
ATOMIC_SPECIES
Pt 195.08 Pt.upf
B 10.81 B.upf
Na 22.99 Na.upf
ATOMIC_POSITIONS crystal
Pt 0.253 0.750 0.835
Pt 0.747 0.835 0.084
Pt 0.759 0.076 0.458
Pt 0.241 0.924 0.542
Pt 0.747 0.250 0.165
Pt 0.253 0.084 0.250
Pt 0.253 0.165 0.916
Pt 0.759 0.382 0.924
Pt 0.759 0.542 0.618
Pt 0.241 0.458 0.382
Pt 0.747 0.916 0.750
Pt 0.241 0.618 0.076
B 0.153 0.873 0.286
B 0.153 0.714 0.588
B 0.847 0.588 0.873
B 0.847 0.286 0.412
B 0.847 0.127 0.714
B 0.153 0.412 0.127
B 0.500 0.000 0.000
Na 0.279 0.333 0.667
Na 0.721 0.667 0.333
CELL_PARAMETERS angstrom
-1.083 -3.802 1.284
-3.963 -1.508 -7.811
8.572 -2.069 1.106



! NaBPt3 | the Alexandria database | GGA-PBE | optimized geometry; values from VASP
! space group	No. 11
! crystal system	monoclinic
! formation enthalpy at 0 K	-0.2681	eV/atom
! final energy	-5.49	eV/atom
! excess energy over the best structure of this formula in the dataset	0.197	eV per atom
&SYSTEM
  ibrav = 0, nat = 10, ntyp = 3
/
ATOMIC_SPECIES
B 10.81 B.upf
Na 22.99 Na.upf
Pt 195.08 Pt.upf
ATOMIC_POSITIONS crystal
B 0.152 0.032 0.250
B 0.848 0.968 0.750
Na 0.493 0.539 0.750
Na 0.507 0.461 0.250
Pt 0.021 0.745 0.499
Pt 0.548 0.964 0.250
Pt 0.021 0.745 0.001
Pt 0.979 0.255 0.501
Pt 0.979 0.255 0.999
Pt 0.452 0.036 0.750
CELL_PARAMETERS angstrom
4.914 -0.061 0.000
-0.537 5.591 0.000
0.000 0.000 5.577



! NaB2Pt3 | the Alexandria database | GGA-PBE | optimized geometry; values from VASP
! space group	No. 65
! crystal system	orthorhombic
! formation enthalpy at 0 K	-0.2599	eV/atom
! final energy	-5.73	eV/atom
! excess energy over the best structure of this formula in the dataset	0.067	eV per atom
&SYSTEM
  ibrav = 0, nat = 12, ntyp = 3
/
ATOMIC_SPECIES
Na 22.99 Na.upf
Pt 195.08 Pt.upf
B 10.81 B.upf
ATOMIC_POSITIONS crystal
Na 0.250 0.500 0.500
Na 0.750 0.500 0.500
Pt 0.750 0.000 0.000
Pt 0.250 0.000 0.500
Pt 0.250 0.000 0.000
Pt 0.750 0.500 0.000
Pt 0.250 0.500 0.000
Pt 0.750 0.000 0.500
B 0.500 0.833 0.167
B 0.000 0.167 0.833
B 0.000 0.833 0.167
B 0.500 0.167 0.833
CELL_PARAMETERS angstrom
-2.455 -0.066 4.935
5.086 -2.088 2.501
-0.938 5.954 -0.387



! NaB2Pt3 | the Alexandria database | GGA-PBE | optimized geometry; values from VASP
! space group	No. 191
! crystal system	hexagonal
! formation enthalpy at 0 K	-0.3265	eV/atom
! final energy	-5.79	eV/atom
! excess energy over the best structure of this formula in the dataset	0.000	eV per atom
&SYSTEM
  ibrav = 0, nat = 6, ntyp = 3
/
ATOMIC_SPECIES
Pt 195.08 Pt.upf
B 10.81 B.upf
Na 22.99 Na.upf
ATOMIC_POSITIONS crystal
Pt 0.500 0.501 0.001
Pt 0.500 0.001 0.501
Pt 0.500 0.501 0.501
B 0.000 0.668 0.334
B 0.000 0.334 0.668
Na 0.000 0.002 0.001
CELL_PARAMETERS angstrom
-2.089 -0.331 -2.326
0.689 -5.494 0.162
-3.880 2.398 3.143



! NaBPt3 | the Alexandria database | GGA-PBE | optimized geometry; values from VASP
! space group	No. 191
! crystal system	hexagonal
! formation enthalpy at 0 K	-0.4651	eV/atom
! final energy	-5.69	eV/atom
! excess energy over the best structure of this formula in the dataset	0.000	eV per atom
&SYSTEM
  ibrav = 0, nat = 10, ntyp = 3
/
ATOMIC_SPECIES
Pt 195.08 Pt.upf
Na 22.99 Na.upf
B 10.81 B.upf
ATOMIC_POSITIONS crystal
Pt 0.500 0.500 0.757
Pt 0.000 0.500 0.243
Pt 0.500 0.500 0.243
Pt 0.500 0.000 0.243
Pt 0.000 0.500 0.757
Pt 0.500 0.000 0.757
Na 0.000 0.000 0.500
Na 0.000 0.000 0.000
B 0.667 0.333 0.500
B 0.333 0.667 0.500
CELL_PARAMETERS angstrom
5.612 0.000 0.000
-2.806 4.860 0.000
0.000 0.000 5.568



! NaBPt2 | the Alexandria database | GGA-PBE | optimized geometry; values from VASP
! space group	No. 65
! crystal system	orthorhombic
! formation enthalpy at 0 K	-0.2141	eV/atom
! final energy	-5.23	eV/atom
&SYSTEM
  ibrav = 0, nat = 8, ntyp = 3
/
ATOMIC_SPECIES
Pt 195.08 Pt.upf
B 10.81 B.upf
Na 22.99 Na.upf
ATOMIC_POSITIONS crystal
Pt 0.335 0.665 0.258
Pt 0.665 0.335 0.742
Pt 0.665 0.335 0.258
Pt 0.335 0.665 0.742
B 0.500 0.000 0.000
B 0.000 0.500 0.000
Na 0.000 0.000 0.000
Na 0.000 0.000 0.500
CELL_PARAMETERS angstrom
-2.667 -3.703 2.253
4.983 0.273 0.996
-1.038 3.347 4.274



! NaBPt3 | the Alexandria database | GGA-PBE | optimized geometry; values from VASP
! space group	No. 221
! crystal system	cubic
! formation enthalpy at 0 K	-0.2966	eV/atom
! final energy	-5.52	eV/atom
! excess energy over the best structure of this formula in the dataset	0.169	eV per atom
&SYSTEM
  ibrav = 0, nat = 5, ntyp = 3
/
ATOMIC_SPECIES
B 10.81 B.upf
Pt 195.08 Pt.upf
Na 22.99 Na.upf
ATOMIC_POSITIONS crystal
B 0.000 0.000 0.000
Pt 0.500 0.000 0.000
Pt 0.000 0.500 0.000
Pt 0.000 0.000 0.500
Na 0.500 0.500 0.500
CELL_PARAMETERS angstrom
4.231 0.000 0.000
0.000 4.231 0.000
0.000 0.000 4.231



! NaB5Pt7 | the Alexandria database | GGA-PBE | optimized geometry; values from VASP
! space group	No. 44
! crystal system	orthorhombic
! formation enthalpy at 0 K	0.0429	eV/atom
! final energy	-5.88	eV/atom
&SYSTEM
  ibrav = 0, nat = 13, ntyp = 3
/
ATOMIC_SPECIES
Pt 195.08 Pt.upf
Na 22.99 Na.upf
B 10.81 B.upf
ATOMIC_POSITIONS crystal
Pt 0.942 0.387 0.730
Pt 0.942 0.730 0.387
Pt 0.595 0.405 0.405
Pt 0.279 0.721 0.721
Pt 0.591 0.093 0.724
Pt 0.591 0.724 0.093
Pt 0.266 0.234 0.234
Na 0.951 0.049 0.049
B 0.079 0.983 0.474
B 0.756 0.744 0.744
B 0.079 0.474 0.983
B 0.465 0.983 0.474
B 0.465 0.474 0.983
CELL_PARAMETERS angstrom
4.530 0.000 0.000
2.265 6.102 0.162
2.265 0.142 6.103



! NaB2Pt2 | the Alexandria database | GGA-PBE | optimized geometry; values from VASP
! space group	No. 15
! crystal system	monoclinic
! formation enthalpy at 0 K	-0.2784	eV/atom
! final energy	-5.63	eV/atom
! excess energy over the best structure of this formula in the dataset	0.000	eV per atom
&SYSTEM
  ibrav = 0, nat = 10, ntyp = 3
/
ATOMIC_SPECIES
Na 22.99 Na.upf
B 10.81 B.upf
Pt 195.08 Pt.upf
ATOMIC_POSITIONS crystal
Na 0.875 0.750 0.250
Na 0.125 0.250 0.750
B 0.798 0.904 0.750
B 0.202 0.096 0.250
B 0.452 0.596 0.750
B 0.548 0.404 0.250
Pt 0.491 0.250 0.019
Pt 0.241 0.750 0.519
Pt 0.759 0.250 0.481
Pt 0.509 0.750 0.981
CELL_PARAMETERS angstrom
5.420 0.000 2.331
2.710 4.756 1.166
0.577 0.000 6.155



! NaB2Pt2 | the Alexandria database | GGA-PBE | optimized geometry; values from VASP
! space group	No. 139
! crystal system	tetragonal
! formation enthalpy at 0 K	-0.0456	eV/atom
! final energy	-5.40	eV/atom
! excess energy over the best structure of this formula in the dataset	0.233	eV per atom
&SYSTEM
  ibrav = 0, nat = 5, ntyp = 3
/
ATOMIC_SPECIES
Pt 195.08 Pt.upf
B 10.81 B.upf
Na 22.99 Na.upf
ATOMIC_POSITIONS crystal
Pt 0.644 0.644 0.712
Pt 0.356 0.356 0.288
B 0.250 0.750 0.500
B 0.750 0.250 0.500
Na 0.000 0.000 0.000
CELL_PARAMETERS angstrom
-2.956 -0.218 2.117
-1.775 -1.747 -2.658
-0.648 -5.644 1.648



! Na3BPt | the Alexandria database | GGA-PBE | optimized geometry; values from VASP
! space group	No. 221
! crystal system	cubic
! formation enthalpy at 0 K	1.0134	eV/atom
! final energy	-2.32	eV/atom
! excess energy over the best structure of this formula in the dataset	0.000	eV per atom
&SYSTEM
  ibrav = 0, nat = 5, ntyp = 3
/
ATOMIC_SPECIES
Na 22.99 Na.upf
B 10.81 B.upf
Pt 195.08 Pt.upf
ATOMIC_POSITIONS crystal
Na 0.000 0.000 0.500
Na 0.000 0.500 0.000
Na 0.500 0.000 0.000
B 0.000 0.000 0.000
Pt 0.500 0.500 0.500
CELL_PARAMETERS angstrom
-3.054 0.521 -3.810
-3.811 -1.059 2.910
-0.512 4.767 1.063



! NaBPt3 | the Alexandria database | GGA-PBE | optimized geometry; values from VASP
! space group	No. 12
! crystal system	monoclinic
! formation enthalpy at 0 K	-0.3674	eV/atom
! final energy	-5.59	eV/atom
! excess energy over the best structure of this formula in the dataset	0.098	eV per atom
&SYSTEM
  ibrav = 0, nat = 10, ntyp = 3
/
ATOMIC_SPECIES
Pt 195.08 Pt.upf
Na 22.99 Na.upf
B 10.81 B.upf
ATOMIC_POSITIONS crystal
Pt 0.538 0.186 0.010
Pt 0.888 0.011 0.469
Pt 0.396 0.503 0.469
Pt 0.396 0.011 0.469
Pt 0.031 0.693 0.010
Pt 0.031 0.186 0.010
Na 0.885 0.512 0.482
Na 0.541 0.684 0.997
B 0.053 0.928 0.731
B 0.374 0.268 0.749
CELL_PARAMETERS angstrom
-2.939 -4.831 1.009
2.444 -5.107 -0.980
-0.959 -1.598 5.902